(1)
NpPd4Pt6: optimized geometry, PBE-GGA.

Cell: 4.7303 4.8287 19.0642 Å, 90.00 90.00 119.32°
Last column: nearest neighbours and their distance in Å.
Positions (direct):
Np (0.5143, 0.0300, 0.2500)  5 Pt 2.71-2.82, 2 Pd 2.86
Np (0.4857, 0.9700, 0.7500)  5 Pt 2.71-2.82, 2 Pd 2.86
Pd (0.8381, 0.6762, 0.4991)  4 Pd 2.73-2.79, 6 Pt 2.73-2.90
Pd (0.3278, 0.6535, 0.1252)  8 Pt 2.68-2.84, 1 Pd 2.78, 1 Np 2.86
Pd (0.1619, 0.3238, 0.5009)  4 Pd 2.73-2.79, 6 Pt 2.73-2.90
Pd (0.6722, 0.3465, 0.8748)  8 Pt 2.68-2.84, 1 Pd 2.78, 1 Np 2.86
Pd (0.8381, 0.6762, 0.0009)  4 Pd 2.73-2.79, 6 Pt 2.73-2.90
Pd (0.1619, 0.3238, 0.9991)  4 Pd 2.73-2.79, 6 Pt 2.73-2.90
Pd (0.6722, 0.3465, 0.6252)  8 Pt 2.68-2.84, 1 Pd 2.78, 1 Np 2.86
Pd (0.3278, 0.6535, 0.3748)  8 Pt 2.68-2.84, 1 Pd 2.78, 1 Np 2.86
Pt (0.5000, 0.0000, 0.0000)  8 Pd 2.73-2.85, 2 Pt 2.75
Pt (0.5000, 0.0000, 0.5000)  8 Pd 2.73-2.85, 2 Pt 2.75
Pt (0.9934, 0.9849, 0.3683)  5 Pd 2.75-2.90, 4 Pt 2.75-2.78
Pt (0.0066, 0.0151, 0.6317)  5 Pd 2.75-2.90, 4 Pt 2.75-2.78
Pt (0.0066, 0.0151, 0.8683)  5 Pd 2.75-2.90, 4 Pt 2.75-2.78
Pt (0.9934, 0.9849, 0.1317)  5 Pd 2.75-2.90, 4 Pt 2.75-2.78
Pt (0.6657, 0.3291, 0.3757)  1 Np 2.71, 4 Pd 2.73-2.84, 4 Pt 2.75-2.78
Pt (0.3343, 0.6709, 0.6243)  1 Np 2.71, 4 Pd 2.73-2.84, 4 Pt 2.75-2.78
Pt (0.3343, 0.6709, 0.8757)  1 Np 2.71, 4 Pd 2.73-2.84, 4 Pt 2.75-2.78
Pt (0.6657, 0.3291, 0.1243)  1 Np 2.71, 4 Pd 2.73-2.84, 4 Pt 2.75-2.78
Pt (0.1791, 0.3593, 0.2500)  2 Pd 2.68, 3 Np 2.74-2.82, 2 Pt 2.75
Pt (0.8210, 0.6407, 0.7500)  2 Pd 2.68, 3 Np 2.74-2.82, 2 Pt 2.75

Computed properties:
Magnetic moment   4.48 Bohr magnetons per cell
DFT formation energy   -0.132 eV/atom
Space group   P2_1/m

(2)
LiLa2Tl: optimized geometry, PBE-GGA.

Cell: 4.6253 4.6253 12.4116 Å, 79.26 79.26 90.00°
Last column: nearest neighbours and their distance in Å.
Positions (direct):
Tl (0.0000, 0.0000, 0.0000)  4 Li 3.27, 4 La 3.37
Tl (0.7500, 0.2500, 0.5000)  4 Li 3.27, 4 La 3.37
Li (0.5000, 0.5000, 0.0000)  4 Tl 3.27, 4 La 3.45
Li (0.2500, 0.7500, 0.5000)  4 Tl 3.27, 4 La 3.45
La (0.6518, 0.1250, 0.2500)  4 La 3.10-3.45, 2 Tl 3.37, 2 Li 3.45
La (0.0982, 0.6250, 0.2500)  4 La 3.10-3.45, 2 Tl 3.37, 2 Li 3.45
La (0.3750, 0.3482, 0.7500)  4 La 3.10-3.45, 2 Tl 3.37, 2 Li 3.45
La (0.8750, 0.9018, 0.7500)  4 La 3.10-3.45, 2 Tl 3.37, 2 Li 3.45

Computed properties:
Magnetic moment   0.00 Bohr magnetons per cell
DFT formation energy   0.168 eV/atom
Space group   I-42d

(3)
DyTaPt6: optimized geometry, PBE-GGA.

Cell: 4.0582 4.0582 8.1259 Å, 90.00 90.00 90.00°
Last column: nearest neighbours and their distance in Å.
Positions (direct):
Dy (0.0000, 0.0000, 0.0000)  12 Pt 2.87-2.96
Ta (0.0000, 0.0000, 0.5000)  12 Pt 2.79-2.87
Pt (0.5000, 0.5000, 0.0000)  4 Dy 2.87, 8 Pt 2.96
Pt (0.5000, 0.5000, 0.5000)  8 Pt 2.79, 4 Ta 2.87
Pt (0.5000, 0.0000, 0.2649)  2 Ta 2.79, 8 Pt 2.79-2.96, 2 Dy 2.96
Pt (0.5000, 0.0000, 0.7351)  2 Ta 2.79, 8 Pt 2.79-2.96, 2 Dy 2.96
Pt (0.0000, 0.5000, 0.2649)  2 Ta 2.79, 8 Pt 2.79-2.96, 2 Dy 2.96
Pt (0.0000, 0.5000, 0.7351)  2 Ta 2.79, 8 Pt 2.79-2.96, 2 Dy 2.96

Computed properties:
Magnetic moment   0.00 Bohr magnetons per cell
DFT formation energy   -0.892 eV/atom
Space group   P4/mmm

(4)
SnHRuPt2: optimized geometry, PBE-GGA.

Cell: 4.0340 4.0340 4.1527 Å, 90.00 90.00 90.00°
Last column: nearest neighbours and their distance in Å.
Positions (direct):
Ru (0.0000, 0.0000, 0.5000)  2 H 2.08
Sn (0.5000, 0.5000, 0.5000)  4 Ru 2.85, 8 Pt 2.89
Pt (0.0000, 0.5000, 0.0000)  2 H 2.02
Pt (0.5000, 0.0000, 0.0000)  2 H 2.02
H (0.0000, 0.0000, 0.0000)  4 Pt 2.02, 2 Ru 2.08

Computed properties:
Magnetic moment   0.00 Bohr magnetons per cell
Final energy   -5.85 eV/atom
Space group   P4/mmm

(5)
PaTlPt2: optimized geometry, PBE-GGA.

Cell: 3.5056 3.5056 7.1433 Å, 90.00 90.00 90.00°
Last column: nearest neighbours and their distance in Å.
Positions (direct):
Tl (0.5000, 0.5000, 0.5000)  8 Pt 3.18, 4 Tl 3.51
Pa (0.5000, 0.5000, 0.0000)  8 Pt 2.94
Pt (0.0000, 0.0000, 0.7788)  4 Pa 2.94, 1 Pt 3.16, 4 Tl 3.18
Pt (0.0000, 0.0000, 0.2212)  4 Pa 2.94, 1 Pt 3.16, 4 Tl 3.18

Computed properties:
Magnetic moment   0.00 Bohr magnetons per cell
DFT formation energy   -0.575 eV/atom
Space group   P4/mmm

(6)
Nd3HoTl3: optimized geometry, PBE-GGA.

Cell: 6.8708 6.8708 9.7296 Å, 90.99 90.99 104.46°
Last column: nearest neighbours and their distance in Å.
Positions (direct):
Nd (0.5905, 0.5905, 0.3161)  5 Tl 3.30-3.61, 1 Ho 3.68
Nd (0.1803, 0.8197, 0.5000)  6 Tl 3.21-3.28
Nd (0.8197, 0.1803, 0.5000)  6 Tl 3.21-3.28
Nd (0.2410, 0.7590, 0.0000)  6 Tl 3.31-3.46, 4 Ho 3.41-3.53
Nd (0.7590, 0.2410, 0.0000)  6 Tl 3.31-3.46, 4 Ho 3.41-3.53
Nd (0.4095, 0.4095, 0.6839)  5 Tl 3.30-3.61, 1 Ho 3.68
Ho (0.7227, 0.7227, 0.9558)  4 Tl 3.15-3.32, 4 Nd 3.41-3.53
Ho (0.2773, 0.2773, 0.0442)  4 Tl 3.15-3.32, 4 Nd 3.41-3.53
Tl (0.9672, 0.9672, 0.2301)  2 Ho 3.22-3.32, 5 Nd 3.28-3.46, 4 Tl 3.43-3.57
Tl (0.9472, 0.5211, 0.7370)  1 Ho 3.15, 5 Nd 3.21-3.49, 1 Tl 3.43
Tl (0.5211, 0.9472, 0.7370)  1 Ho 3.15, 5 Nd 3.21-3.49, 1 Tl 3.43
Tl (0.0528, 0.4789, 0.2630)  1 Ho 3.15, 5 Nd 3.21-3.49, 1 Tl 3.43
Tl (0.4789, 0.0528, 0.2630)  1 Ho 3.15, 5 Nd 3.21-3.49, 1 Tl 3.43
Tl (0.0328, 0.0328, 0.7699)  2 Ho 3.22-3.32, 5 Nd 3.28-3.46, 4 Tl 3.43-3.57

Computed properties:
Magnetic moment   0.00 Bohr magnetons per cell
DFT formation energy   -0.205 eV/atom
ΔE to the lowest computed polymorph   0.465 eV per formula unit
Space group   C2/m